GdHfCoRh | PBE | relaxed

Geometry as CIF:
```
data_GdHfCoRh
_cell_length_a 6.6267
_cell_length_b 6.6267
_cell_length_c 6.6267
_cell_angle_alpha 90.00
_cell_angle_beta 90.00
_cell_angle_gamma 90.00
_symmetry_space_group_name_H-M 'F -4 3 m'
_symmetry_Int_Tables_number 216
_symmetry_space_group_name_Hall 'F -4 2 3'
loop_
_atom_site_label
_atom_site_type_symbol
_atom_site_fract_x
_atom_site_fract_y
_atom_site_fract_z
Gd1 Gd 0.0000 0.0000 0.0000
Hf1 Hf 0.0000 0.0000 0.5000
Co1 Co 0.2500 0.2500 0.7500
Rh1 Rh 0.2500 0.2500 0.2500
```

DFT total energy in eV/atom: -10.0679
Fermi-level density of states in states/eV/f.u.: 2.7
ΔE_f in eV/atom: -0.45